Density functional theory data (PBEsol) for crystalline Sr2TeIr at its relaxed geometry.

abc: 6.4028 6.7184 6.7184
angles: 76.88 61.54 61.54
Sites, in units of the cell vectors:
Sr 0.3750 0.5483 0.9517
Sr 0.6733 0.9517 0.4517
Sr 0.8750 0.4517 0.0483
Sr 0.0767 0.0483 0.5483
Ir 0.7500 0.5000 0.5000
Ir 0.0000 0.0000 0.0000
Te 0.5000 0.0000 0.0000
Te 0.2500 0.5000 0.5000

Output
Magnetization = 0.0 μB/f.u.
Raw formation energy = -320 meV/atom
VASP energy = -4.578 eV per atom
DOS(E_F) = 1.021 states/eV per cell